4
Lattice="-0.4894 5.0083 3.9068 -3.9881 3.0997 3.8822 0.5565 -1.0854 5.0712" Properties=species:S:1:pos:R:3 comment="Tl2CdHg (PBE, optimized geometry)" vol_a3_per_atom=28.13 sg="Cm, No. 8" e_form_mev_per_atom=12 pbc="T T T"
Tl -2.9819 5.3419 9.6817
Tl -4.4367 8.0337 7.7513
Hg -0.9193 1.6442 3.2012
Cd -2.0211 3.6222 6.4450

32
Lattice="-1.2472 4.1381 -4.6647 -7.1521 -4.6014 -2.1698 -8.8556 8.9175 10.2785" Properties=species:S:1:pos:R:3 comment="Tl3Cd2Hg3 (PBE, optimized geometry)" vol_a3_per_atom=28.32 sg="Pnma, No. 62" e_form_mev_per_atom=9 pbc="T T T"
Hg -9.6320 8.1769 3.8408
Hg -3.8990 2.0877 1.2407
Hg -10.9481 4.3658 -1.2684
Hg -7.6228 0.2772 -0.3969
Hg -6.9213 5.1709 1.5024
Hg -6.3068 4.0884 4.7123
Hg -3.0948 1.3177 -2.9390
Hg -10.3335 3.2833 1.9415
Hg -7.1216 0.5125 -5.7097
Hg -10.1333 7.9417 9.1537
Hg -13.3558 6.3665 2.2032
Hg -14.1600 7.1365 6.3829
Cd -11.2019 7.4913 6.3629
Cd -6.0530 0.9629 -2.9190
Cd -2.7964 4.3237 -3.0290
Cd -5.0615 6.6046 -0.3999
Cd -12.1933 1.8496 3.8439
Cd -8.9368 5.2103 3.7338
Cd -8.3181 3.2438 -0.2899
Cd -14.4584 4.1305 6.4729
Tl -5.2724 3.4931 -1.1619
Tl -8.3827 -1.8464 -2.7495
Tl -4.4656 -0.6774 -0.3889
Tl -9.0877 1.9862 -3.1417
Tl -8.8722 10.3006 6.1934
Tl -8.1672 6.4679 6.5856
Tl -12.7893 9.1316 3.8328
Tl -10.8278 0.6158 0.0884
Tl -6.9107 1.7848 2.4491
Tl -10.3442 6.6694 0.9948
Tl -6.4270 7.8384 3.3555
Tl -11.9824 4.9610 4.6058

11
Lattice="5.3226 0.0571 2.0153 3.0220 7.6191 0.2103 0.0819 -0.1895 8.1966" Properties=species:S:1:pos:R:3 comment="Tl3CdHg7 (PBE, optimized geometry)" vol_a3_per_atom=29.89 sg="C2/m, No. 12" e_form_mev_per_atom=27 pbc="T T T"
Hg 3.0903 3.0288 8.2848
Hg 4.7824 1.5035 3.2307
Hg 4.5638 6.9424 4.2823
Hg 1.5519 3.7148 4.2035
Hg 3.6440 5.9831 7.1915
Hg 3.8626 0.5443 6.1399
Hg 5.3361 4.4578 2.1373
Tl 2.6613 0.0285 1.0076
Tl 0.7567 1.6028 6.3635
Tl 2.3471 5.8268 2.0434
Cd 4.2132 3.7433 5.2111

9
Lattice="3.5669 0.0000 0.0000 -1.7835 3.0890 0.0000 0.0000 0.0000 22.7065" Properties=species:S:1:pos:R:3 comment="Tl2Cd2Hg5 (PBE, optimized geometry)" vol_a3_per_atom=27.80 sg="P-3m1, No. 164" e_form_mev_per_atom=26 pbc="T T T"
Hg 1.7835 1.0297 16.4814
Hg 0.0000 0.0000 11.3532
Hg 1.7835 1.0297 1.1624
Hg 0.0000 2.0594 21.5441
Hg 0.0000 2.0594 6.2251
Tl 1.7835 1.0297 8.7714
Tl 0.0000 2.0594 13.9350
Cd 0.0000 2.0594 3.3879
Cd 1.7835 1.0297 19.3186

14
Lattice="-4.3291 6.1727 3.6011 1.8775 -3.0801 7.5365 6.8953 4.7141 0.2088" Properties=species:S:1:pos:R:3 comment="Tl3Cd3Hg (PBE, optimized geometry)" vol_a3_per_atom=41.66 sg="Pm-3n, No. 223" e_form_mev_per_atom=349 pbc="T T T"
Cd 4.8558 0.0470 5.7568
Cd -0.1435 0.0031 4.6686
Cd -0.4407 4.2648 1.8528
Cd 3.0069 6.6219 1.9572
Cd 3.9170 1.5870 1.9886
Cd -2.3081 3.0895 6.4691
Tl 2.6626 -0.3615 3.8205
Tl -0.7564 0.7763 7.4530
Tl -1.6952 2.3163 3.6847
Tl 2.3654 3.9002 1.0047
Tl 0.2008 6.9865 2.8053
Tl 6.1102 1.9955 3.9249
Hg 0.0000 0.0000 0.0000
Hg 2.2218 3.9033 5.6733

11
Lattice="-4.3184 1.8737 -2.8724 3.4420 -3.1705 -7.2428 -2.8536 -5.3273 6.1085" Properties=species:S:1:pos:R:3 comment="Tl8Cd2Hg (PBE, optimized geometry)" vol_a3_per_atom=29.84 sg="C2/m, No. 12" e_form_mev_per_atom=43 pbc="T T T"
Hg -2.1592 0.9368 -1.4362
Tl -6.1020 -4.4320 0.9893
Tl -2.7995 -4.9308 -4.3010
Tl -0.6867 -3.0416 -6.2451
Tl -3.0433 -3.5826 2.2384
Tl -1.6307 -4.8958 -0.7419
Tl 2.3720 -2.1921 -4.9960
Tl -0.9305 -1.6934 0.2943
Tl -2.0993 -1.7284 -3.2648
Cd -4.0730 -2.5431 -0.8289
Cd 0.3430 -4.0811 -3.1778

14
Lattice="-5.0040 3.4008 6.0681 1.0657 -7.0121 4.8086 6.8740 3.5627 3.6719" Properties=species:S:1:pos:R:3 comment="Tl3CdHg3 (PBE, optimized geometry)" vol_a3_per_atom=44.94 sg="Pm-3n, No. 223" e_form_mev_per_atom=294 pbc="T T T"
Tl 3.7034 0.0283 3.0381
Tl -0.7182 -2.6558 3.9213
Tl -0.7835 2.5911 3.9520
Tl 2.6535 4.3724 5.7880
Tl 4.2362 -3.4777 5.4424
Tl -3.2202 -0.9554 6.9554
Cd 0.0000 0.0000 0.0000
Cd 1.4678 -0.0243 7.2743
Hg 5.6883 -0.8340 5.1582
Hg 2.2513 -2.6154 3.3223
Hg -2.2356 -0.0526 4.2362
Hg -0.3160 4.3320 6.3870
Hg -1.7028 -3.5586 6.6405
Hg 2.1860 2.6316 3.3530

11
Lattice="5.3780 0.1347 2.1719 2.7138 7.0343 0.6357 0.0890 0.0956 7.5653" Properties=species:S:1:pos:R:3 comment="Tl2Cd7Hg2 (PBE, optimized geometry)" vol_a3_per_atom=25.67 sg="C2/m, No. 12" e_form_mev_per_atom=30 pbc="T T T"
Cd 5.8992 2.1803 4.4177
Cd 3.0214 3.0585 8.0383
Cd 4.3739 6.6337 4.4678
Cd 2.2815 5.0843 5.9552
Cd 3.8069 0.6309 5.9051
Cd 5.1593 4.2061 2.3346
Cd 2.6890 0.0673 1.0860
Tl 0.5466 1.3054 6.3571
Tl 2.2562 5.8245 1.8439
Hg 2.9041 2.8062 3.9100
Hg 5.2766 4.4584 6.4629

7
Lattice="-2.6843 -1.8065 0.6795 -0.1885 -2.6635 -7.8256 5.5520 -3.6125 4.2855" Properties=species:S:1:pos:R:3 comment="Tl2Cd2Hg3 (PBE, optimized geometry)" vol_a3_per_atom=27.72 sg="C2/m, No. 12" e_form_mev_per_atom=26 pbc="T T T"
Hg 1.6656 -3.8831 -3.7433
Hg -0.0943 -1.3318 -3.9128
Hg 1.0136 -4.1994 0.8828
Tl -0.7735 -4.1394 -6.0171
Tl 3.4527 -3.9431 3.1565
Cd 1.6398 -6.0600 -1.5894
Cd 1.0393 -2.0225 -1.2712

12
Lattice="4.9420 0.0000 0.0000 0.0000 6.1151 0.0000 0.0000 0.0000 10.2570" Properties=species:S:1:pos:R:3 comment="TlCd10Hg (PBE, optimized geometry)" vol_a3_per_atom=25.83 sg="Pmmm, No. 47" e_form_mev_per_atom=74 pbc="T T T"
Cd 2.4710 4.6080 2.5291
Cd 0.0000 0.0000 3.4905
Cd 0.0000 0.0000 6.7665
Cd 2.4710 4.6080 7.7280
Cd 2.4710 1.5071 7.7280
Cd 2.4710 3.0575 0.0000
Cd 0.0000 3.0575 8.3782
Cd 2.4710 0.0000 5.1285
Cd 2.4710 1.5071 2.5291
Cd 0.0000 3.0575 1.8788
Hg 0.0000 3.0575 5.1285
Tl 0.0000 0.0000 0.0000

8
Lattice="5.2569 0.0000 0.0000 2.6284 4.5526 0.0000 2.6284 1.5175 8.5813" Properties=species:S:1:pos:R:3 comment="Tm4Tl2CdHg (PBE, optimized geometry)" vol_a3_per_atom=25.67 sg="R-3m, No. 166" e_form_mev_per_atom=-345 pbc="T T T"
Tm 7.8853 4.5526 3.1712
Tm 5.2569 3.0351 1.0308
Tm 2.6284 1.5175 5.4101
Tm 5.2569 3.0351 7.5505
Tl 7.8853 4.5526 6.3665
Tl 2.6284 1.5175 2.2148
Hg 0.0000 0.0000 0.0000
Cd 5.2569 3.0351 4.2907

5
Lattice="5.5345 0.0000 0.0000 0.0000 5.5743 0.0000 0.0000 0.0000 5.5345" Properties=species:S:1:pos:R:3 comment="TlCd2HgW (PBE, optimized geometry)" vol_a3_per_atom=34.15 sg="P4/mmm, No. 123" e_form_mev_per_atom=1621 pbc="T T T"
W 2.7673 2.7872 2.7673
Cd 2.7673 0.0000 0.0000
Cd 0.0000 0.0000 2.7673
Tl 0.0000 0.0000 0.0000
Hg 0.0000 2.7872 0.0000

Number 1: N(E_F) 1.24 states/eV/cell, VASP energy -1.475 eV per atom. Number 2: N(E_F) 11.10 states/eV/cell, VASP energy -1.220 eV per atom. Number 3: N(E_F) 4.65 states/eV/cell, VASP energy -0.893 eV per atom. Number 4: N(E_F) 2.18 states/eV/cell, VASP energy -0.871 eV per atom. Number 5: N(E_F) 10.72 states/eV/cell, VASP energy -1.100 eV per atom. Number 6: N(E_F) 4.86 states/eV/cell, VASP energy -1.872 eV per atom. Number 7: N(E_F) 9.24 states/eV/cell, VASP energy -0.980 eV per atom. Number 8: N(E_F) 3.95 states/eV/cell, VASP energy -1.038 eV per atom. Number 9: N(E_F) 1.73 states/eV/cell, VASP energy -1.041 eV per atom. Number 10: N(E_F) 4.14 states/eV/cell, VASP energy -0.911 eV per atom. Number 11: N(E_F) 7.77 states/eV/cell, VASP energy -3.324 eV per atom. Number 12: N(E_F) 1.89 states/eV/cell, VASP energy -1.870 eV per atom.